No. 1
LiMnBO3: PBEsol geometry, SCAN.

Summary:
**Crystal system**: monoclinic
**ΔE_f (raw)**: -2332 meV/atom
**Raw total energy**: -10.13 eV per atom
**DOS at the Fermi energy**: 0.000 states/eV per atom

```
LiMnBO3
1.0
5.362 0.000 0.000
0.000 8.326 0.000
-2.688 0.000 6.161
Li Mn B O
4 4 4 12
Cartesian
-0.213 0.458 2.481
-1.557 3.705 5.561
4.231 4.621 0.600
2.887 7.868 3.680
1.424 6.000 1.618
0.080 6.489 4.698
2.594 1.837 1.462
1.250 2.326 4.543
-1.244 1.055 4.938
0.100 3.108 1.857
2.574 5.218 4.304
3.918 7.271 1.223
-1.433 5.268 4.446
-0.089 7.221 1.365
-0.555 0.016 4.334
0.790 4.146 1.254
-0.524 2.072 5.586
0.820 2.091 2.505
1.854 6.235 3.656
3.198 6.254 0.575
1.884 4.179 4.907
3.228 8.309 1.826
2.763 1.105 4.796
4.107 3.058 1.715
```



No. 2
MgPb4: PBEsol geometry, SCAN.

Summary:
**ΔH_f (0 K)**: -0.022 eV per atom
**Crystal system**: tetragonal
**Raw total energy**: -61.64 eV per atom
**DOS at the Fermi energy**: 0.475 states/eV per atom

```
MgPb4
1.0
7.566 0.000 0.000
0.000 7.566 0.000
0.000 0.000 4.958
Mg Pb
2 8
Cartesian
0.000 0.000 0.000
3.783 3.783 2.479
0.789 5.314 2.479
1.532 2.994 0.000
2.251 0.789 2.479
2.994 6.034 0.000
4.571 1.532 0.000
5.314 6.777 2.479
6.034 4.571 0.000
6.777 2.251 2.479
```